# Tb5PtS4 (PBE, optimized geometry)
# total moment	0.00	μB/f.u.
# ρ	8.355	Mg/m³
# calculated volume	444	Å³ per cell
# electronic total energy	-6.3997	eV per atom
data_Tb5PtS4
_chemical_formula_sum 'Tb10 Pt2 S8'
_cell_length_a 3.9571
_cell_length_b 3.9571
_cell_length_c 28.3806
_cell_angle_alpha 90.00
_cell_angle_beta 90.00
_cell_angle_gamma 90.00
_space_group_name_H-M_alt 'I 4/m m m'
_space_group_IT_number 139
_space_group_name_Hall '-I 4 2'
loop_
_atom_site_label
_atom_site_type_symbol
_atom_site_fract_x
_atom_site_fract_y
_atom_site_fract_z
_atom_site_occupancy
Tb1 Tb 0.0000 0.0000 0.0000 1
Tb2 Tb 0.0000 0.0000 0.2024 1
Tb3 Tb 0.0000 0.0000 0.3978 1
Pt1 Pt 0.0000 0.0000 0.5000 1
S1 S 0.0000 0.0000 0.1039 1
S2 S 0.0000 0.0000 0.3004 1

# Tb8Te4Pt3S (PBE, optimized geometry)
# total moment	0.00	μB/f.u.
# ρ	9.134	Mg/m³
# calculated volume	1309	Å³ per cell
# electronic total energy	-5.8608	eV per atom
data_Tb8Te4Pt3S
_chemical_formula_sum 'Tb24 Te12 Pt9 S3'
_cell_length_a 8.3504
_cell_length_b 8.3504
_cell_length_c 21.6692
_cell_angle_alpha 90.00
_cell_angle_beta 90.00
_cell_angle_gamma 120.00
_space_group_name_H-M_alt 'R -3 m'
_space_group_IT_number 166
_space_group_name_Hall '-R 3 2"'
loop_
_atom_site_label
_atom_site_type_symbol
_atom_site_fract_x
_atom_site_fract_y
_atom_site_fract_z
_atom_site_occupancy
Tb1 Tb 0.0000 0.0000 0.2361 1
Tb2 Tb 0.0054 0.5027 0.7619 1
Te1 Te 0.0000 0.0000 0.0000 1
Te2 Te 0.0000 0.5000 0.0000 1
Pt1 Pt 0.0000 0.5000 0.5000 1
S1 S 0.0000 0.0000 0.5000 1

# Tb4Te2PtS (PBE, optimized geometry)
# total moment	0.00	μB/f.u.
# ρ	8.678	Mg/m³
# calculated volume	214	Å³ per cell
# electronic total energy	-5.8466	eV per atom
data_Tb4Te2PtS
_chemical_formula_sum 'Tb4 Te2 Pt1 S1'
_cell_length_a 7.3434
_cell_length_b 4.1081
_cell_length_c 7.4902
_cell_angle_alpha 90.00
_cell_angle_beta 108.78
_cell_angle_gamma 90.00
_space_group_name_H-M_alt 'P 1 2/m 1'
_space_group_IT_number 10
_space_group_name_Hall '-P 2y'
loop_
_atom_site_label
_atom_site_type_symbol
_atom_site_fract_x
_atom_site_fract_y
_atom_site_fract_z
_atom_site_occupancy
Tb1 Tb 0.2281 0.0000 0.2099 1
Tb2 Tb 0.2639 0.5000 0.7842 1
Te1 Te 0.0000 0.0000 0.5000 1
Te2 Te 0.5000 0.5000 0.5000 1
Pt1 Pt 0.0000 0.5000 0.0000 1
S1 S 0.5000 0.0000 0.0000 1

# Tb6Te3Pt2S (PBE, optimized geometry)
# total moment	0.00	μB/f.u.
# ρ	8.962	Mg/m³
# calculated volume	652	Å³ per cell
# electronic total energy	-5.8657	eV per atom
data_Tb6Te3Pt2S
_chemical_formula_sum 'Tb12 Te6 Pt4 S2'
_cell_length_a 7.2006
_cell_length_b 12.4914
_cell_length_c 7.6286
_cell_angle_alpha 90.00
_cell_angle_beta 108.23
_cell_angle_gamma 90.00
_space_group_name_H-M_alt 'C 1 2/m 1'
_space_group_IT_number 12
_space_group_name_Hall '-C 2y'
loop_
_atom_site_label
_atom_site_type_symbol
_atom_site_fract_x
_atom_site_fract_y
_atom_site_fract_z
_atom_site_occupancy
Tb1 Tb 0.2313 0.0000 0.2145 1
Tb2 Tb 0.2423 0.3299 0.2136 1
Te1 Te 0.0000 0.0000 0.5000 1
Te2 Te 0.0000 0.3367 0.5000 1
Pt1 Pt 0.0000 0.1673 0.0000 1
S1 S 0.0000 0.5000 0.0000 1

# Tb8Te4PtS3 (PBE, optimized geometry)
# total moment	0.00	μB/f.u.
# ρ	8.261	Mg/m³
# calculated volume	1250	Å³ per cell
# electronic total energy	-5.8316	eV per atom
data_Tb8Te4PtS3
_chemical_formula_sum 'Tb24 Te12 Pt3 S9'
_cell_length_a 8.2843
_cell_length_b 8.2843
_cell_length_c 21.0323
_cell_angle_alpha 90.00
_cell_angle_beta 90.00
_cell_angle_gamma 120.00
_space_group_name_H-M_alt 'R -3 m'
_space_group_IT_number 166
_space_group_name_Hall '-R 3 2"'
loop_
_atom_site_label
_atom_site_type_symbol
_atom_site_fract_x
_atom_site_fract_y
_atom_site_fract_z
_atom_site_occupancy
Tb1 Tb 0.0000 0.0000 0.2353 1
Tb2 Tb 0.0020 0.5010 0.2374 1
Te1 Te 0.0000 0.0000 0.0000 1
Te2 Te 0.0000 0.5000 0.0000 1
Pt1 Pt 0.0000 0.0000 0.5000 1
S1 S 0.0000 0.5000 0.5000 1

# TbThPtS (PBE, optimized geometry)
# total moment	0.00	μB/f.u.
# ρ	10.448	Mg/m³
# calculated volume	295	Å³ per cell
# electronic total energy	-6.9780	eV per atom
data_TbThPtS
_chemical_formula_sum 'Tb3 Th3 Pt3 S3'
_cell_length_a 3.9494
_cell_length_b 3.9494
_cell_length_c 21.8162
_cell_angle_alpha 90.00
_cell_angle_beta 90.00
_cell_angle_gamma 120.00
_space_group_name_H-M_alt 'R 3 m'
_space_group_IT_number 160
_space_group_name_Hall 'R 3 -2"'
loop_
_atom_site_label
_atom_site_type_symbol
_atom_site_fract_x
_atom_site_fract_y
_atom_site_fract_z
_atom_site_occupancy
Tb1 Tb 0.0000 0.0000 0.0000 1
Th1 Th 0.0000 0.0000 0.1708 1
Pt1 Pt 0.0000 0.0000 0.7547 1
S1 S 0.0000 0.0000 0.5886 1

# Tc2PtS (PBE, optimized geometry)
# energy above the most stable polymorph in this dataset	253.1	meV/atom
# total moment	0.00	μB/f.u.
# ρ	8.853	Mg/m³
# calculated volume	317	Å³ per cell
# electronic total energy	-7.2594	eV per atom
data_Tc2PtS
_chemical_formula_sum 'Tc8 Pt4 S4'
_cell_length_a 5.3817
_cell_length_b 5.3817
_cell_length_c 10.9621
_cell_angle_alpha 90.00
_cell_angle_beta 90.00
_cell_angle_gamma 90.00
_space_group_name_H-M_alt 'I -4 2 d'
_space_group_IT_number 122
_space_group_name_Hall 'I -4 2bw'
loop_
_atom_site_label
_atom_site_type_symbol
_atom_site_fract_x
_atom_site_fract_y
_atom_site_fract_z
_atom_site_occupancy
Tc1 Tc 0.2142 0.2500 0.1250 1
Pt1 Pt 0.0000 0.0000 0.5000 1
S1 S 0.0000 0.0000 0.0000 1

# TcPt2S4 (PBE, optimized geometry)
# total moment	0.00	μB/f.u.
# ρ	7.592	Mg/m³
# calculated volume	270	Å³ per cell
# electronic total energy	-5.2210	eV per atom
data_TcPt2S4
_chemical_formula_sum 'Tc2 Pt4 S8'
_cell_length_a 4.8585
_cell_length_b 4.8585
_cell_length_c 11.4237
_cell_angle_alpha 90.00
_cell_angle_beta 90.00
_cell_angle_gamma 90.00
_space_group_name_H-M_alt 'I 4/m m m'
_space_group_IT_number 139
_space_group_name_Hall '-I 4 2'
loop_
_atom_site_label
_atom_site_type_symbol
_atom_site_fract_x
_atom_site_fract_y
_atom_site_fract_z
_atom_site_occupancy
Tc1 Tc 0.0000 0.0000 0.0000 1
Pt1 Pt 0.0000 0.0000 0.3882 1
S1 S 0.0000 0.0000 0.1953 1
S2 S 0.0000 0.5000 0.0000 1

# Tc2Pt2S (PBE, optimized geometry)
# energy above the most stable polymorph in this dataset	0.0	meV/atom
# total moment	0.00	μB/f.u.
# ρ	13.111	Mg/m³
# calculated volume	157	Å³ per cell
# electronic total energy	-7.2769	eV per atom
data_Tc2Pt2S
_chemical_formula_sum 'Tc4 Pt4 S2'
_cell_length_a 6.1023
_cell_length_b 6.1023
_cell_length_c 4.2056
_cell_angle_alpha 90.00
_cell_angle_beta 90.00
_cell_angle_gamma 90.00
_space_group_name_H-M_alt 'P 4/m b m'
_space_group_IT_number 127
_space_group_name_Hall '-P 4 2ab'
loop_
_atom_site_label
_atom_site_type_symbol
_atom_site_fract_x
_atom_site_fract_y
_atom_site_fract_z
_atom_site_occupancy
Tc1 Tc 0.1466 0.3534 0.0000 1
Pt1 Pt 0.1520 0.6520 0.5000 1
S1 S 0.0000 0.0000 0.0000 1

# Tc2PtS (PBE, optimized geometry)
# energy above the most stable polymorph in this dataset	0.0	meV/atom
# total moment	0.00	μB/f.u.
# ρ	12.167	Mg/m³
# calculated volume	231	Å³ per cell
# electronic total energy	-7.5125	eV per atom
data_Tc2PtS
_chemical_formula_sum 'Tc8 Pt4 S4'
_cell_length_a 6.1359
_cell_length_b 6.1359
_cell_length_c 6.1359
_cell_angle_alpha 90.00
_cell_angle_beta 90.00
_cell_angle_gamma 90.00
_space_group_name_H-M_alt 'F m -3 m'
_space_group_IT_number 225
_space_group_name_Hall '-F 4 2 3'
loop_
_atom_site_label
_atom_site_type_symbol
_atom_site_fract_x
_atom_site_fract_y
_atom_site_fract_z
_atom_site_occupancy
Tc1 Tc 0.2500 0.2500 0.2500 1
Pt1 Pt 0.0000 0.0000 0.0000 1
S1 S 0.0000 0.0000 0.5000 1

# Tc2Pt2S (PBE, optimized geometry)
# energy above the most stable polymorph in this dataset	311.0	meV/atom
# total moment	0.00	μB/f.u.
# ρ	12.266	Mg/m³
# calculated volume	167	Å³ per cell
# electronic total energy	-6.9659	eV per atom
data_Tc2Pt2S
_chemical_formula_sum 'Tc4 Pt4 S2'
_cell_length_a 3.6353
_cell_length_b 3.6353
_cell_length_c 12.6666
_cell_angle_alpha 90.00
_cell_angle_beta 90.00
_cell_angle_gamma 90.00
_space_group_name_H-M_alt 'I 4/m m m'
_space_group_IT_number 139
_space_group_name_Hall '-I 4 2'
loop_
_atom_site_label
_atom_site_type_symbol
_atom_site_fract_x
_atom_site_fract_y
_atom_site_fract_z
_atom_site_occupancy
Tc1 Tc 0.0000 0.0000 0.0950 1
Pt1 Pt 0.0000 0.5000 0.2500 1
S1 S 0.0000 0.0000 0.5000 1

# TlTc2PtS (PBE, optimized geometry)
# total moment	1.50	μB/f.u.
# ρ	10.702	Mg/m³
# calculated volume	97	Å³ per cell
# electronic total energy	-5.7607	eV per atom
data_TlTc2PtS
_chemical_formula_sum 'Tl1 Tc2 Pt1 S1'
_cell_length_a 4.3193
_cell_length_b 4.3193
_cell_length_c 5.2189
_cell_angle_alpha 90.00
_cell_angle_beta 90.00
_cell_angle_gamma 90.00
_space_group_name_H-M_alt 'P 4/m m m'
_space_group_IT_number 123
_space_group_name_Hall '-P 4 2'
loop_
_atom_site_label
_atom_site_type_symbol
_atom_site_fract_x
_atom_site_fract_y
_atom_site_fract_z
_atom_site_occupancy
Tl1 Tl 0.0000 0.0000 0.0000 1
Tc1 Tc 0.0000 0.5000 0.5000 1
Pt1 Pt 0.5000 0.5000 0.0000 1
S1 S 0.0000 0.0000 0.5000 1